The following is a DFT calculation (PBE with a Hubbard U) of a relaxed Ba4Sr3MnO8 crystal.

Unit cell a=7.629 b=7.598 c=7.510 alpha=120.02 beta=120.52 gamma=90.00
Each line ends with the local moment (μB).
Fractional positions:
Sr (0.000, 0.500, 0.500)  0.00
Sr (0.500, 0.500, 0.000)  0.00
Sr (0.500, 0.500, 0.500)  0.00
Ba (0.000, 0.000, 0.000)  0.00
Ba (0.000, 0.000, 0.500)  0.00
Ba (0.500, 0.000, 0.500)  0.00
Ba (0.500, 0.000, 0.000)  0.01
Mn (0.000, 0.500, 0.000)  4.64
O (0.782, 0.292, 0.565)  0.01
O (0.744, 0.733, 0.488)  0.00
O (0.739, 0.738, 0.988)  0.02
O (0.218, 0.708, 0.435)  0.01
O (0.249, 0.738, 0.988)  0.02
O (0.261, 0.262, 0.012)  0.02
O (0.256, 0.267, 0.512)  0.00
O (0.751, 0.262, 0.012)  0.02

Symmetry: C2/m
Total DFT energy (no corrections) in eV per atom: -6.107
V in Å³/cell: 305.27